Material: Pa2Al8Cr
Method: DFT, GGA-PBE
State: relaxed

Summary:
- E_form: -0.1936 eV per atom
- Uncorrected energy: -60.69 eV/cell

Cell lengths 4.325, 4.325, 11.273 Å; angles 90.00, 90.00, 90.00 degrees
Sites, in units of the cell vectors:
1 Pa 0.000 0.000 0.192
2 Pa 0.000 0.000 0.808
3 Al 0.000 0.500 0.000
4 Al 0.000 0.500 0.378
5 Al 0.000 0.500 0.622
6 Al 0.500 0.000 0.000
7 Al 0.500 0.000 0.378
8 Al 0.500 0.000 0.622
9 Al 0.500 0.500 0.190
10 Al 0.500 0.500 0.810
11 Cr 0.000 0.000 0.500